LiEuLuMg | PBE-GGA | optimized geometry

Its energy relative to the elements is 71 meV per atom. The calculated volume is 454.52 Å³ per cell.

It has space group F-43m (No. 216), with a = 7.689 Å, b = 7.689 Å, c = 7.689 Å, α = 90.00°, β = 90.00° and γ = 90.00°. The distinct sites, in fractional coordinates, are Li at (0.000, 0.000, 0.000), Eu at (0.250, 0.250, 0.250), Lu at (0.250, 0.250, 0.750) and Mg at (0.000, 0.000, 0.500).

=====

LiNdEuLu | PBE-GGA | optimized geometry

Its energy relative to the elements is 184 meV per atom. The calculated volume is 507.19 Å³ per cell.

It has space group F-43m (No. 216), with a = 7.975 Å, b = 7.975 Å, c = 7.975 Å, α = 90.00°, β = 90.00° and γ = 90.00°. The distinct sites, in fractional coordinates, are Li at (0.000, 0.000, 0.000), Nd at (0.250, 0.250, 0.250), Eu at (0.250, 0.250, 0.750) and Lu at (0.000, 0.000, 0.500).

=====

LiEuLuOs | PBE-GGA | optimized geometry

Its energy relative to the elements is -26 meV per atom. The calculated volume is 335.18 Å³ per cell.

It has space group F-43m (No. 216), with a = 6.946 Å, b = 6.946 Å, c = 6.946 Å, α = 90.00°, β = 90.00° and γ = 90.00°. The distinct sites, in fractional coordinates, are Li at (0.000, 0.000, 0.000), Eu at (0.250, 0.250, 0.250), Lu at (0.250, 0.250, 0.750) and Os at (0.000, 0.000, 0.500).

=====

LiEuLuPb | PBE-GGA | optimized geometry

Its energy relative to the elements is -254 meV per atom. The calculated volume is 441.90 Å³ per cell.

It has space group F-43m (No. 216), with a = 7.617 Å, b = 7.617 Å, c = 7.617 Å, α = 90.00°, β = 90.00° and γ = 90.00°. The distinct sites, in fractional coordinates, are Li at (0.000, 0.000, 0.000), Eu at (0.250, 0.250, 0.750), Lu at (0.250, 0.250, 0.250) and Pb at (0.000, 0.000, 0.500).

=====

LiEuLuPd | PBE-GGA | optimized geometry

Its energy relative to the elements is -334 meV per atom. The calculated volume is 368.19 Å³ per cell.

It has space group F-43m (No. 216), with a = 7.167 Å, b = 7.167 Å, c = 7.167 Å, α = 90.00°, β = 90.00° and γ = 90.00°. The distinct sites, in fractional coordinates, are Li at (0.000, 0.000, 0.000), Eu at (0.250, 0.250, 0.250), Lu at (0.250, 0.250, 0.750) and Pd at (0.000, 0.000, 0.500).

=====

LiEuLuPt | PBE-GGA | optimized geometry

Its energy relative to the elements is -574 meV per atom. The calculated volume is 353.65 Å³ per cell.

It has space group F-43m (No. 216), with a = 7.072 Å, b = 7.072 Å, c = 7.072 Å, α = 90.00°, β = 90.00° and γ = 90.00°. The distinct sites, in fractional coordinates, are Li at (0.000, 0.000, 0.000), Eu at (0.250, 0.250, 0.750), Lu at (0.250, 0.250, 0.250) and Pt at (0.000, 0.000, 0.500).